1.
The following is a PBE calculation of an optimized crystal structure of Sm3Zn8Ru, from Alexandria.

Lattice parameters (Å, degrees): 5.3310 5.3310 9.5148 73.73 73.73 60.00
Positions (direct):
Zn  0.4482  0.9378  0.6761
Zn  0.9354  0.4322  0.2002
Zn  0.6857  0.6857  0.9429
Zn  0.9378  0.9378  0.6761
Zn  0.4322  0.4322  0.2002
Zn  0.1883  0.1883  0.4352
Zn  0.9378  0.4482  0.6761
Zn  0.4322  0.9354  0.2002
Sm  0.5045  0.5045  0.4865
Sm  0.9872  0.9872  0.0383
Sm  0.3786  0.3786  0.8641
Ru  0.8820  0.8820  0.3540

Calculated values
mass density	8.1	g cm⁻³
energy relative to the elements	-0.25	eV per atom
crystal system	trigonal



2.
The following is a PBE calculation of an optimized crystal structure of Sm4ZnRu3, from Alexandria.

Lattice parameters (Å, degrees): 4.2294 4.3890 10.3692 90.00 90.00 90.00
Positions (direct):
Sm  0.0000  0.5000  0.8503
Sm  0.5000  0.5000  0.3632
Sm  0.5000  0.0000  0.6508
Sm  0.0000  0.0000  0.1333
Ru  0.5000  0.0000  0.9347
Ru  0.0000  0.5000  0.5532
Ru  0.0000  0.0000  0.4513
Zn  0.5000  0.5000  0.0631

Calculated values
mass density	8.4	g cm⁻³
energy relative to the elements	-0.21	eV per atom
crystal system	orthorhombic



3.
The following is a PBE calculation of an optimized crystal structure of SmZn3Ru, from Alexandria.

Lattice parameters (Å, degrees): 5.2819 5.7029 6.7204 115.11 90.00 90.00
Positions (direct):
Ru  0.0000  0.0000  0.0000
Ru  0.5000  0.0000  0.0000
Zn  0.7500  0.0913  0.7087
Zn  0.2500  0.3825  0.2913
Zn  0.2500  0.9087  0.2913
Zn  0.7500  0.1888  0.3776
Zn  0.2500  0.8112  0.6224
Zn  0.7500  0.6175  0.7087
Sm  0.7500  0.6025  0.2051
Sm  0.2500  0.3975  0.7949

Calculated values
mass density	8.1	g cm⁻³
energy relative to the elements	-0.21	eV per atom
offset from the most stable computed form	0.0	kJ/mol of atoms
crystal system	orthorhombic